No. 1
ZrSbMo2 after structural relaxation, computed with PBE.

Cell: 4.502 4.502 3.613 Å, 90.00 90.00 90.09°
Atoms (fractional coordinates):
Zr 0.000 0.000 0.000
Sb 0.500 0.500 0.000
Mo 0.000 0.500 0.500
Mo 0.500 0.000 0.500

formation energy (no corrections) = 14.8 meV per atom
crystal system = orthorhombic
spin magnetization = 0.00 μB/f.u.
DOS at the Fermi energy = 5.09 states/eV/cell
mass density = 9.2 Mg/m³



No. 2
CaCe3Pm2Te6 after structural relaxation, computed with PBE.

Cell: 10.064 10.064 9.030 Å, 103.59 103.59 25.60°
Atoms (fractional coordinates):
Ca 0.000 0.000 0.000
Ce 0.000 0.000 0.500
Ce 0.332 0.332 0.168
Ce 0.668 0.668 0.832
Pm 0.330 0.330 0.660
Pm 0.670 0.670 0.340
Te 0.165 0.165 0.085
Te 0.166 0.166 0.583
Te 0.499 0.499 0.754
Te 0.501 0.501 0.246
Te 0.834 0.834 0.417
Te 0.835 0.835 0.915

formation energy (no corrections) = -1419.4 meV per atom
crystal system = monoclinic
spin magnetization = 3.78 μB/f.u.
DOS at the Fermi energy = 22.85 states/eV/cell
mass density = 6.6 Mg/m³



No. 3
VTe6Mo2 after structural relaxation, computed with PBE.

Cell: 6.789 6.638 12.390 Å, 90.00 119.33 90.00°
Atoms (fractional coordinates):
V 0.000 0.000 0.000
V 0.000 0.500 0.500
Te 0.146 0.141 0.458
Te 0.146 0.359 0.958
Te 0.190 0.634 0.359
Te 0.190 0.866 0.859
Te 0.379 0.517 0.724
Te 0.379 0.983 0.224
Te 0.621 0.017 0.776
Te 0.621 0.483 0.276
Te 0.810 0.134 0.141
Te 0.810 0.366 0.641
Te 0.854 0.641 0.042
Te 0.854 0.859 0.542
Mo 0.189 0.146 0.688
Mo 0.189 0.354 0.188
Mo 0.811 0.646 0.812
Mo 0.811 0.854 0.312

formation energy (no corrections) = 10.9 meV per atom
crystal system = monoclinic
spin magnetization = 3.34 μB/f.u.
DOS at the Fermi energy = 13.80 states/eV/cell
mass density = 6.9 Mg/m³
energy above the lowest structure with this stoichiometry = 2.181 eV/f.u.



No. 4
Sm3ZnHg3 after structural relaxation, computed with PBE.

Cell: 7.239 7.239 7.208 Å, 90.98 90.98 88.58°
Atoms (fractional coordinates):
Sm 0.054 0.434 0.746
Sm 0.082 0.082 0.269
Sm 0.434 0.054 0.746
Sm 0.566 0.946 0.254
Sm 0.918 0.918 0.731
Sm 0.946 0.566 0.254
Zn 0.360 0.360 0.450
Zn 0.640 0.640 0.550
Hg 0.237 0.763 0.000
Hg 0.264 0.736 0.500
Hg 0.354 0.354 0.069
Hg 0.646 0.646 0.931
Hg 0.736 0.264 0.500
Hg 0.763 0.237 0.000

crystal system = monoclinic
spin magnetization = 0.00 μB/f.u.
ΔE_f = -0.31 eV/atom
DOS at the Fermi energy = 13.89 states/eV/cell
mass density = 9.8 Mg/m³



> Look up the mass density of the first one.

9.2 Mg/m³